# GGA-PBE Al3AgH, relaxed
# **N(E_F)**: 3.2 states/eV per cell
# **M_tot**: 0.00 μB/cell
# **E_tot**: -2.649 eV/atom
data_Al3AgH
_chemical_formula_sum 'Al3 Ag1 H1'
_symmetry_space_group_name_H-M 'P m -3 m'
_symmetry_Int_Tables_number 221
_symmetry_space_group_name_Hall '-P 4 2 3'
_cell_length_a 4.8528
_cell_length_b 4.8528
_cell_length_c 4.8528
_cell_angle_alpha 90.00
_cell_angle_beta 90.00
_cell_angle_gamma 90.00
loop_
_atom_site_label
_atom_site_fract_x
_atom_site_fract_y
_atom_site_fract_z
Al1 0.0000 0.0000 0.5000
Ag1 0.0000 0.0000 0.0000
H1 0.5000 0.5000 0.5000

***

# GGA-PBE Al2Ag2H, relaxed
# **N(E_F)**: 2.8 states/eV per cell
# **M_tot**: 0.00 μB/cell
# **E_tot**: -2.899 eV/atom
data_Al2Ag2H
_chemical_formula_sum 'Al4 Ag4 H2'
_symmetry_space_group_name_H-M 'P 4/m b m'
_symmetry_Int_Tables_number 127
_symmetry_space_group_name_Hall '-P 4 2ab'
_cell_length_a 7.7235
_cell_length_b 7.7235
_cell_length_c 2.8703
_cell_angle_alpha 90.00
_cell_angle_beta 90.00
_cell_angle_gamma 90.00
loop_
_atom_site_label
_atom_site_fract_x
_atom_site_fract_y
_atom_site_fract_z
Al1 0.1771 0.3229 0.0000
Ag1 0.1267 0.6267 0.5000
H1 0.0000 0.0000 0.0000

***

# GGA-PBE Al2Ag2H, relaxed
# **N(E_F)**: 4.1 states/eV per cell
# **M_tot**: 0.00 μB/cell
# **E_tot**: -2.754 eV/atom
data_Al2Ag2H
_chemical_formula_sum 'Al4 Ag4 H2'
_symmetry_space_group_name_H-M 'I 4/m m m'
_symmetry_Int_Tables_number 139
_symmetry_space_group_name_Hall '-I 4 2'
_cell_length_a 3.7559
_cell_length_b 3.7559
_cell_length_c 13.1430
_cell_angle_alpha 90.00
_cell_angle_beta 90.00
_cell_angle_gamma 90.00
loop_
_atom_site_label
_atom_site_fract_x
_atom_site_fract_y
_atom_site_fract_z
Al1 0.0000 0.0000 0.0952
Ag1 0.0000 0.5000 0.2500
H1 0.0000 0.0000 0.5000

***

# GGA-PBE Al3AgH, relaxed
# **N(E_F)**: 1.5 states/eV per cell
# **M_tot**: 0.00 μB/cell
# **E_tot**: -3.303 eV/atom
data_Al3AgH
_chemical_formula_sum 'Al3 Ag1 H1'
_symmetry_space_group_name_H-M 'P m -3 m'
_symmetry_Int_Tables_number 221
_symmetry_space_group_name_Hall '-P 4 2 3'
_cell_length_a 4.1174
_cell_length_b 4.1174
_cell_length_c 4.1174
_cell_angle_alpha 90.00
_cell_angle_beta 90.00
_cell_angle_gamma 90.00
loop_
_atom_site_label
_atom_site_fract_x
_atom_site_fract_y
_atom_site_fract_z
Al1 0.0000 0.0000 0.5000
Ag1 0.5000 0.5000 0.5000
H1 0.0000 0.0000 0.0000

***

# GGA-PBE AlAgH3, relaxed
# **N(E_F)**: 1.1 states/eV per cell
# **M_tot**: 0.00 μB/cell
# **E_tot**: -2.922 eV/atom
data_AlAgH3
_chemical_formula_sum 'Al1 Ag1 H3'
_symmetry_space_group_name_H-M 'P m -3 m'
_symmetry_Int_Tables_number 221
_symmetry_space_group_name_Hall '-P 4 2 3'
_cell_length_a 3.6680
_cell_length_b 3.6680
_cell_length_c 3.6680
_cell_angle_alpha 90.00
_cell_angle_beta 90.00
_cell_angle_gamma 90.00
loop_
_atom_site_label
_atom_site_fract_x
_atom_site_fract_y
_atom_site_fract_z
Al1 0.0000 0.0000 0.0000
Ag1 0.5000 0.5000 0.5000
H1 0.0000 0.0000 0.5000

***

# GGA-PBE Al2AgH2, relaxed
# **N(E_F)**: 2.4 states/eV per cell
# **M_tot**: 0.00 μB/cell
# **E_tot**: -3.042 eV/atom
data_Al2AgH2
_chemical_formula_sum 'Al4 Ag2 H4'
_symmetry_space_group_name_H-M 'P 4/m b m'
_symmetry_Int_Tables_number 127
_symmetry_space_group_name_Hall '-P 4 2ab'
_cell_length_a 6.7028
_cell_length_b 6.7028
_cell_length_c 2.6634
_cell_angle_alpha 90.00
_cell_angle_beta 90.00
_cell_angle_gamma 90.00
loop_
_atom_site_label
_atom_site_fract_x
_atom_site_fract_y
_atom_site_fract_z
Al1 0.1416 0.3584 0.0000
Ag1 0.0000 0.0000 0.5000
H1 0.1041 0.6041 0.5000

***

# GGA-PBE AlAgH2, relaxed
# **N(E_F)**: 3.8 states/eV per cell
# **M_tot**: 0.00 μB/cell
# **E_tot**: -2.897 eV/atom
data_AlAgH2
_chemical_formula_sum 'Al4 Ag4 H8'
_symmetry_space_group_name_H-M 'I -4 2 d'
_symmetry_Int_Tables_number 122
_symmetry_space_group_name_Hall 'I -4 2bw'
_cell_length_a 4.7143
_cell_length_b 4.7143
_cell_length_c 8.6039
_cell_angle_alpha 90.00
_cell_angle_beta 90.00
_cell_angle_gamma 90.00
loop_
_atom_site_label
_atom_site_fract_x
_atom_site_fract_y
_atom_site_fract_z
Al1 0.0000 0.0000 0.0000
Ag1 0.0000 0.0000 0.5000
H1 0.1326 0.2500 0.1250

***

# GGA-PBE Al2AgH2, relaxed
# **N(E_F)**: 2.7 states/eV per cell
# **M_tot**: 0.00 μB/cell
# **E_tot**: -2.989 eV/atom
data_Al2AgH2
_chemical_formula_sum 'Al4 Ag2 H4'
_symmetry_space_group_name_H-M 'I 4/m m m'
_symmetry_Int_Tables_number 139
_symmetry_space_group_name_Hall '-I 4 2'
_cell_length_a 3.8682
_cell_length_b 3.8682
_cell_length_c 8.3741
_cell_angle_alpha 90.00
_cell_angle_beta 90.00
_cell_angle_gamma 90.00
loop_
_atom_site_label
_atom_site_fract_x
_atom_site_fract_y
_atom_site_fract_z
Al1 0.0000 0.5000 0.2500
Ag1 0.0000 0.0000 0.0000
H1 0.0000 0.0000 0.3411